(1)
Here is crystalline KIrPb at its relaxed geometry from the Open Quantum Materials Database. Energies are from PBE-GGA.

**Energy relative to the lowest polymorph listed for this composition**: 0.000 eV per atom
**Space group**: F-43m

POSCAR file:
```
KIrPb
1.0
0.000 3.452 3.452
3.452 0.000 3.452
3.452 3.452 0.000
K Ir Pb
1 1 1
Direct
0.000 0.000 0.000 K
0.250 0.250 0.250 Ir
0.500 0.500 0.500 Pb
```

(2)
Here is crystalline Hf2NiC at its relaxed geometry from the Open Quantum Materials Database. Energies are from PBE-GGA.

**Electronic total energy**: -9.219 eV per atom
**Space group**: C2/c

POSCAR file:
```
Hf2NiC
1.0
4.858 -2.800 0.000
4.858 2.800 0.000
-3.256 0.000 13.129
Hf Ni C
12 6 6
Direct
0.036 0.871 0.608 Hf
0.129 0.964 0.892 Hf
0.199 0.364 0.097 Hf
0.299 0.469 0.403 Hf
0.364 0.199 0.597 Hf
0.469 0.299 0.903 Hf
0.531 0.701 0.097 Hf
0.636 0.801 0.403 Hf
0.701 0.531 0.597 Hf
0.801 0.636 0.903 Hf
0.871 0.036 0.108 Hf
0.964 0.129 0.392 Hf
0.083 0.307 0.750 Ni
0.307 0.083 0.250 Ni
0.483 0.517 0.750 Ni
0.517 0.483 0.250 Ni
0.693 0.917 0.750 Ni
0.917 0.693 0.250 Ni
0.000 0.500 0.500 C
0.164 0.672 0.000 C
0.328 0.836 0.500 C
0.500 0.000 0.000 C
0.672 0.164 0.500 C
0.836 0.328 0.000 C
```

| no. | size of the total moment (Bohr magnetons per cell) |
| --- | --- |
| 1 | 0.0 |
| 2 | 0.0 |